# 1
# CsNiP (PBE, relaxed)
data_CsNiP
_chemical_formula_sum 'Cs4 Ni4 P4'
_symmetry_space_group_name_H-M 'P 1 21/c 1'
_symmetry_Int_Tables_number 14
_symmetry_space_group_name_Hall '-P 2ybc'
_cell_length_a 7.500
_cell_length_b 6.884
_cell_length_c 7.365
_cell_angle_alpha 90.00
_cell_angle_beta 119.01
_cell_angle_gamma 90.00
loop_
_atom_site_label
_atom_site_fract_x
_atom_site_fract_y
_atom_site_fract_z
Cs1 0.153 0.085 0.316
Ni1 0.447 0.617 0.594
P1 0.416 0.667 0.286
# D(E_F) = 8.6 states/eV/cell
# formation enthalpy at 0 K = -385 meV per atom


# 2
# CsNi2P2 (PBE, relaxed)
data_CsNi2P2
_chemical_formula_sum 'Cs1 Ni2 P2'
_symmetry_space_group_name_H-M 'P 4/m m m'
_symmetry_Int_Tables_number 123
_symmetry_space_group_name_Hall '-P 4 2'
_cell_length_a 3.856
_cell_length_b 3.856
_cell_length_c 7.096
_cell_angle_alpha 90.00
_cell_angle_beta 90.00
_cell_angle_gamma 90.00
loop_
_atom_site_label
_atom_site_fract_x
_atom_site_fract_y
_atom_site_fract_z
Cs1 0.000 0.000 0.000
Ni1 0.000 0.500 0.500
P1 0.500 0.500 0.331
# D(E_F) = 3.0 states/eV/cell
# formation enthalpy at 0 K = -361 meV per atom


# 3
# CsNiP (PBE, relaxed)
data_CsNiP
_chemical_formula_sum 'Cs2 Ni2 P2'
_symmetry_space_group_name_H-M 'P 1'
_symmetry_Int_Tables_number 1
_symmetry_space_group_name_Hall 'P 1'
_cell_length_a 4.010
_cell_length_b 6.757
_cell_length_c 7.061
_cell_angle_alpha 72.94
_cell_angle_beta 73.54
_cell_angle_gamma 89.85
loop_
_atom_site_label
_atom_site_fract_x
_atom_site_fract_y
_atom_site_fract_z
Cs1 0.000 0.000 0.000
Cs2 0.186 0.612 0.619
Ni1 0.305 0.201 0.389
Ni2 0.884 0.410 0.230
P1 0.446 0.467 0.104
P2 0.743 0.144 0.515
# D(E_F) = 4.1 states/eV/cell
# formation enthalpy at 0 K = -425 meV per atom


# 4
# CsNiP2 (PBE, relaxed)
data_CsNiP2
_chemical_formula_sum 'Cs4 Ni4 P8'
_symmetry_space_group_name_H-M 'F m -3 m'
_symmetry_Int_Tables_number 225
_symmetry_space_group_name_Hall '-F 4 2 3'
_cell_length_a 6.958
_cell_length_b 6.958
_cell_length_c 6.958
_cell_angle_alpha 90.00
_cell_angle_beta 90.00
_cell_angle_gamma 90.00
loop_
_atom_site_label
_atom_site_fract_x
_atom_site_fract_y
_atom_site_fract_z
Cs1 0.000 0.000 0.000
Ni1 0.000 0.000 0.500
P1 0.250 0.250 0.250
# D(E_F) = 11.2 states/eV/cell
# formation enthalpy at 0 K = 1110 meV per atom
# offset from the most stable computed form = 1190.6 meV per atom


# 5
# CsNiP (PBE, relaxed)
data_CsNiP
_chemical_formula_sum 'Cs1 Ni1 P1'
_symmetry_space_group_name_H-M 'P -6 m 2'
_symmetry_Int_Tables_number 187
_symmetry_space_group_name_Hall 'P -6 2'
_cell_length_a 3.8348
_cell_length_b 3.8348
_cell_length_c 5.9406
_cell_angle_alpha 90.00
_cell_angle_beta 90.00
_cell_angle_gamma 120.00
loop_
_atom_site_label
_atom_site_fract_x
_atom_site_fract_y
_atom_site_fract_z
Cs1 0.0000 0.0000 0.0000
Ni1 0.6667 0.3333 0.5000
P1 0.3333 0.6667 0.5000
# D(E_F) = 3.0 states/eV/cell
# formation enthalpy at 0 K = -194 meV per atom


# 6
# CsNi3P2 (PBE, relaxed)
data_CsNi3P2
_chemical_formula_sum 'Cs4 Ni12 P8'
_symmetry_space_group_name_H-M 'C 1 2/m 1'
_symmetry_Int_Tables_number 12
_symmetry_space_group_name_Hall '-C 2y'
_cell_length_a 14.295
_cell_length_b 3.702
_cell_length_c 9.105
_cell_angle_alpha 90.00
_cell_angle_beta 111.74
_cell_angle_gamma 90.00
loop_
_atom_site_label
_atom_site_fract_x
_atom_site_fract_y
_atom_site_fract_z
Cs1 0.147 0.000 0.060
Ni1 0.047 0.000 0.397
Ni2 0.085 0.500 0.622
Ni3 0.184 0.500 0.450
P1 0.025 0.500 0.261
P2 0.180 0.000 0.618
# D(E_F) = 14.6 states/eV/cell
# formation enthalpy at 0 K = -431 meV per atom


- Among the records above, which one has the highest formation enthalpy at 0 K?
  CsNiP2


- Look up the D(E_F) of the fourth one.
  11.2 states/eV/cell